(1)
DFT (GGA-PBE) results for a geometry-optimized AlSiH structure.

```
12
Lattice="5.540 0.000 0.000 0.000 5.501 0.000 0.000 0.000 4.752" Properties=species:S:1:pos:R:3 pbc="T T T"
H 4.140 1.375 4.752
H 4.171 4.126 2.376
H 1.401 4.126 0.000
H 1.370 1.375 2.376
Si 2.521 1.375 0.000
Si 0.249 4.126 2.376
Si 3.019 4.126 4.752
Si 5.291 1.375 2.376
Al 0.000 0.000 0.000
Al 2.770 2.750 2.376
Al 2.770 0.000 2.376
Al 0.000 2.750 0.000
```

## Properties
- ΔE to the lowest computed polymorph (meV per atom) = 209
- SG = Cmcm (63)
- spin magnetization (μB/f.u.) = 0.000
- DOS(E_F) (states/eV/cell) = 2.91
- E (eV per atom) = -3.832



(2)
DFT (GGA-PBE) results for a geometry-optimized AlSiH structure.

```
6
Lattice="4.063 0.000 0.000 1.728 3.984 0.000 1.986 -0.288 5.779" Properties=species:S:1:pos:R:3 pbc="T T T"
Al 2.811 2.414 1.683
Al 4.928 3.482 0.452
Si 4.468 0.397 4.167
Si 2.457 0.243 2.857
H 4.050 1.961 0.512
H 4.347 1.864 4.552
```

## Properties
- ΔE to the lowest computed polymorph (meV per atom) = 66
- SG = P1 (1)
- spin magnetization (μB/f.u.) = 0.000
- DOS(E_F) (states/eV/cell) = 0.10
- E (eV per atom) = -3.975



(3)
DFT (GGA-PBE) results for a geometry-optimized Sr2AlSiH structure.

```
10
Lattice="-1.114 -2.753 -3.016 5.597 0.844 -2.837 -0.156 -7.296 6.717" Properties=species:S:1:pos:R:3 pbc="T T T"
Sr 3.465 -5.507 -0.709
Sr 3.549 -1.983 -3.956
Sr 0.861 -3.698 1.572
Sr 0.777 -7.222 4.819
Al 3.132 -5.772 2.626
Al 1.194 -3.433 -1.763
Si 3.147 -2.149 -0.686
Si 1.179 -7.056 1.549
H 4.214 -6.979 3.328
H 0.112 -2.226 -2.465
```

## Properties
- SG = P2_1/m (11)
- spin magnetization (μB/f.u.) = 0.000
- DOS(E_F) (states/eV/cell) = 2.13
- E (eV per atom) = -3.564



(4)
DFT (GGA-PBE) results for a geometry-optimized ZrAl2SiH structure.

```
5
Lattice="-0.099 2.393 -3.247 0.005 -3.421 -2.521 -4.033 -0.062 0.076" Properties=species:S:1:pos:R:3 pbc="T T T"
H 0.000 0.000 0.000
Si 0.003 -1.711 -1.261
Al -2.017 -0.031 0.038
Al -0.049 1.196 -1.624
Zr -2.063 -0.545 -2.846
```

## Properties
- SG = P4/mmm (123)
- spin magnetization (μB/f.u.) = 0.000
- DOS(E_F) (states/eV/cell) = 2.37
- E (eV per atom) = -5.131



(5)
DFT (GGA-PBE) results for a geometry-optimized Sm12Al3H5 structure.

```
80
Lattice="13.640 0.000 0.000 -4.547 12.860 0.000 -4.547 -6.430 11.137" Properties=species:S:1:pos:R:3 pbc="T T T"
H -1.137 3.215 2.784
H -2.273 6.430 0.000
H 0.000 0.000 0.000
H 3.410 2.411 1.392
H 4.547 -3.215 5.569
H 4.547 6.430 0.000
H -3.410 7.234 4.176
H 5.683 -4.019 9.745
H 5.683 5.626 4.176
H 1.137 -3.215 8.353
H 3.410 9.645 2.784
H 2.273 3.215 5.569
H 6.820 0.000 0.000
H -2.273 -3.215 5.569
H -1.137 0.804 6.961
H -1.137 10.449 1.392
H -4.547 3.215 5.569
H 7.957 -0.804 6.961
H 1.137 4.019 9.745
H 5.683 3.215 8.353
Al 7.957 4.019 1.392
Al 7.957 8.841 1.392
Al -1.137 5.626 6.961
Al 1.137 -0.804 4.176
Al 10.230 0.000 2.784
Al 1.137 6.430 2.784
Al 3.410 0.000 8.353
Al -5.683 6.430 8.353
Al 3.410 7.234 6.961
Al 5.683 0.804 4.176
Al -3.410 -2.411 9.745
Al -3.410 2.411 9.745
Sm 9.071 1.331 0.209
Sm 0.022 4.062 4.520
Sm 10.301 3.106 3.242
Sm 5.613 1.961 1.258
Sm 1.768 4.679 7.686
Sm 9.818 6.418 2.118
Sm -1.207 7.576 4.499
Sm -3.340 10.899 1.258
Sm 0.505 8.181 7.686
Sm 6.095 6.442 2.118
Sm 6.843 3.700 4.311
Sm 6.843 11.529 0.209
Sm -4.042 5.781 5.778
Sm 2.998 4.602 1.069
Sm -4.569 9.160 4.311
Sm 2.296 -2.368 6.617
Sm -0.505 1.102 2.327
Sm 2.998 8.270 1.048
Sm 5.613 9.754 3.242
Sm -0.725 4.590 1.048
Sm -2.778 7.532 8.810
Sm 3.480 5.284 4.499
Sm 6.315 7.079 5.778
Sm 5.271 -1.828 10.068
Sm 1.066 1.146 6.638
Sm -1.768 -0.649 5.359
Sm -0.725 8.258 1.069
Sm -1.066 -3.324 7.895
Sm 7.325 -1.102 2.327
Sm 5.271 1.840 10.089
Sm 1.549 -1.840 10.089
Sm 2.251 8.798 4.520
Sm 5.052 5.328 8.810
Sm 9.116 -2.730 6.826
Sm 8.588 0.649 5.359
Sm -2.296 -5.099 10.928
Sm 1.549 1.828 10.068
Sm 4.042 -1.751 3.451
Sm -1.549 -0.012 9.020
Sm -2.296 2.730 6.826
Sm 7.886 -4.469 9.879
Sm 5.754 -1.146 6.638
Sm -1.066 4.469 9.879
Sm -5.271 0.012 9.020
Sm 2.778 1.751 3.451
Sm -5.754 3.324 7.895
Sm 4.524 2.368 6.617
Sm -4.524 5.099 10.928
```

## Properties
- SG = Ia-3d (230)
- spin magnetization (μB/f.u.) = 0.000
- DOS(E_F) (states/eV/cell) = 86.57
- E (eV per atom) = -4.442



(6)
DFT (GGA-PBE) results for a geometry-optimized Sm4Al2H structure.

```
7
Lattice="-0.730 -3.531 -2.928 4.449 -1.268 0.420 -3.852 -2.477 7.633" Properties=species:S:1:pos:R:3 pbc="T T T"
H 0.000 0.000 0.000
Al 1.328 -3.701 0.448
Al -1.461 -3.576 4.678
Sm 0.581 -5.527 2.837
Sm -0.715 -1.750 2.289
Sm 2.224 -0.634 0.210
Sm -0.365 -1.766 -1.464
```

## Properties
- SG = I4/mmm (139)
- spin magnetization (μB/f.u.) = 0.000
- DOS(E_F) (states/eV/cell) = 6.82
- E (eV per atom) = -4.496



(7)
DFT (GGA-PBE) results for a geometry-optimized Sm2AlH structure.

```
4
Lattice="3.332 0.000 0.000 0.000 3.332 0.000 0.000 0.000 7.461" Properties=species:S:1:pos:R:3 pbc="T T T"
H 1.666 1.666 3.731
Al 1.666 1.666 0.000
Sm 0.000 0.000 5.432
Sm 0.000 0.000 2.030
```

## Properties
- ΔE to the lowest computed polymorph (meV per atom) = 120
- SG = P4/mmm (123)
- spin magnetization (μB/f.u.) = 0.000
- DOS(E_F) (states/eV/cell) = 2.62
- E (eV per atom) = -4.266



(8)
DFT (GGA-PBE) results for a geometry-optimized SmAl2H6 structure.

```
9
Lattice="-2.877 4.201 -0.939 -3.341 0.018 -3.955 -5.096 -0.095 0.915" Properties=species:S:1:pos:R:3 pbc="T T T"
Sm 0.000 0.000 0.000
Al -8.486 3.093 -2.985
Al -2.829 1.031 -0.995
H -6.830 1.160 -2.433
H -5.894 2.972 -3.215
H -6.634 2.924 -1.161
H -4.485 2.964 -1.547
H -5.420 1.153 -0.765
H -4.680 1.200 -2.819
```

## Properties
- SG = Fm-3m (225)
- spin magnetization (μB/f.u.) = 0.000
- DOS(E_F) (states/eV/cell) = 3.80
- E (eV per atom) = -3.023



(9)
DFT (GGA-PBE) results for a geometry-optimized Sm2AlH structure.

```
8
Lattice="3.593 0.000 0.000 0.000 7.401 0.000 0.000 0.000 6.741" Properties=species:S:1:pos:R:3 pbc="T T T"
Sm 1.796 5.442 3.371
Sm 1.796 1.959 3.370
Sm 1.796 1.959 0.000
Sm 1.796 5.442 6.741
Al 0.000 7.401 1.685
Al 0.000 0.000 5.056
H 1.796 3.702 1.685
H 1.796 3.700 5.056
```

## Properties
- ΔE to the lowest computed polymorph (meV per atom) = 0
- SG = Pmmm (47)
- spin magnetization (μB/f.u.) = 0.000
- DOS(E_F) (states/eV/cell) = 4.73
- E (eV per atom) = -4.386



(10)
DFT (GGA-PBE) results for a geometry-optimized Sm2AlH structure.

```
4
Lattice="3.664 0.000 0.000 1.832 3.173 0.000 1.832 1.058 7.512" Properties=species:S:1:pos:R:3 pbc="T T T"
H 0.000 0.000 0.000
Al 3.664 2.116 3.756
Sm 1.832 1.058 1.455
Sm 5.496 3.173 6.057
```

## Properties
- ΔE to the lowest computed polymorph (meV per atom) = 19
- SG = R-3m (166)
- spin magnetization (μB/f.u.) = 0.000
- DOS(E_F) (states/eV/cell) = 2.58
- E (eV per atom) = -4.367



(11)
DFT (GGA-PBE) results for a geometry-optimized AlSnH structure.

```
12
Lattice="-5.095 5.053 -0.696 -2.801 -2.437 2.812 2.629 3.420 5.583" Properties=species:S:1:pos:R:3 pbc="T T T"
H -3.030 7.139 5.097
H -3.985 2.464 3.952
H -2.237 -1.103 2.602
H -1.282 3.572 3.747
Sn -1.099 2.154 2.701
Sn -0.869 2.332 6.941
Sn -4.168 3.882 4.999
Sn -4.398 3.704 0.758
Al -3.997 5.522 2.732
Al -2.636 4.578 7.127
Al -1.269 0.514 4.967
Al -2.631 1.458 0.572
```

## Properties
- ΔE to the lowest computed polymorph (meV per atom) = 146
- SG = Pnma (62)
- spin magnetization (μB/f.u.) = 0.000
- DOS(E_F) (states/eV/cell) = 0.44
- E (eV per atom) = -3.435



(12)
DFT (GGA-PBE) results for a geometry-optimized AlSn3H structure.

```
5
Lattice="-2.761 -1.075 3.680 3.767 0.082 2.850 -0.712 4.600 0.810" Properties=species:S:1:pos:R:3 pbc="T T T"
H 0.000 0.000 0.000
Sn 1.884 0.041 1.425
Sn -0.356 2.300 0.405
Sn -1.380 -0.538 1.840
Al 0.147 1.803 3.670
```

## Properties
- ΔE to the lowest computed polymorph (meV per atom) = 0
- SG = Pm-3m (221)
- spin magnetization (μB/f.u.) = 0.000
- DOS(E_F) (states/eV/cell) = 2.64
- E (eV per atom) = -3.490



(13)
DFT (GGA-PBE) results for a geometry-optimized Al2SnH structure.

```
4
Lattice="0.000 3.270 3.270 3.270 0.000 3.270 3.270 3.270 0.000" Properties=species:S:1:pos:R:3 pbc="T T T"
H 0.000 0.000 0.000
Sn 3.270 3.270 3.270
Al 1.635 1.635 1.635
Al 4.905 4.905 4.905
```

## Properties
- ΔE to the lowest computed polymorph (meV per atom) = 186
- SG = Fm-3m (225)
- spin magnetization (μB/f.u.) = 0.000
- DOS(E_F) (states/eV/cell) = 1.90
- E (eV per atom) = -3.245



(14)
DFT (GGA-PBE) results for a geometry-optimized AlSnH structure.

```
12
Lattice="-1.187 -4.366 -11.522 2.072 -2.734 0.822 -3.703 -2.416 1.297" Properties=species:S:1:pos:R:3 pbc="T T T"
H -2.004 -5.740 -10.248
H -2.346 -6.571 -4.586
H -0.814 -3.775 0.846
H -0.472 -2.945 -4.816
Sn -0.194 -1.848 -1.872
Sn -1.140 -4.903 -2.081
Sn -2.625 -7.668 -7.530
Sn -1.678 -4.612 -7.321
Al -3.440 -6.848 -10.314
Al 0.035 -4.847 -4.851
Al 0.622 -2.668 0.912
Al -2.853 -4.669 -4.551
```

## Properties
- ΔE to the lowest computed polymorph (meV per atom) = 93
- SG = Pnma (62)
- spin magnetization (μB/f.u.) = 0.000
- DOS(E_F) (states/eV/cell) = 3.67
- E (eV per atom) = -3.488



(15)
DFT (GGA-PBE) results for a geometry-optimized AlSnH structure.

```
6
Lattice="3.260 -0.004 -0.038 -0.008 4.343 -0.003 -1.409 -2.086 9.438" Properties=species:S:1:pos:R:3 pbc="T T T"
H -0.592 1.260 4.384
H 2.435 0.993 5.013
Sn 0.840 3.266 2.179
Sn 1.003 -1.012 7.218
Al 1.027 1.166 9.082
Al 0.816 1.087 0.315
```

## Properties
- ΔE to the lowest computed polymorph (meV per atom) = 0
- SG = P-1 (2)
- spin magnetization (μB/f.u.) = 0.000
- DOS(E_F) (states/eV/cell) = 1.06
- E (eV per atom) = -3.581



(16)
DFT (GGA-PBE) results for a geometry-optimized Al2SnH2 structure.

```
5
Lattice="-1.532 0.614 -2.898 2.230 -1.909 -1.583 -3.250 -5.564 -1.380" Properties=species:S:1:pos:R:3 pbc="T T T"
H -2.217 -2.799 -3.260
H -0.336 -4.061 -2.602
Sn 0.000 0.000 0.000
Al -0.805 -2.224 -1.965
Al -1.747 -4.635 -3.897
```

## Properties
- SG = I4/mmm (139)
- spin magnetization (μB/f.u.) = 0.000
- DOS(E_F) (states/eV/cell) = 1.22
- E (eV per atom) = -3.400



(17)
DFT (GGA-PBE) results for a geometry-optimized AlSnH structure.

```
12
Lattice="6.373 0.000 0.000 0.000 5.277 0.000 0.000 0.000 6.206" Properties=species:S:1:pos:R:3 pbc="T T T"
H 2.533 1.319 4.074
H 0.653 3.958 0.971
H 3.840 3.958 2.133
H 5.720 1.319 5.236
Sn 2.551 1.319 0.534
Sn 0.636 3.958 3.637
Sn 3.822 3.958 5.673
Sn 5.737 1.319 2.570
Al 0.000 0.000 0.000
Al 3.187 2.639 3.103
Al 3.187 0.000 3.103
Al 0.000 2.639 0.000
```

## Properties
- ΔE to the lowest computed polymorph (meV per atom) = 111
- SG = Pnma (62)
- spin magnetization (μB/f.u.) = 0.000
- DOS(E_F) (states/eV/cell) = 3.68
- E (eV per atom) = -3.470



(18)
DFT (GGA-PBE) results for a geometry-optimized Al2SnH6 structure.

```
9
Lattice="-4.008 2.377 -2.581 -4.519 -2.662 -0.932 -4.451 1.308 2.619" Properties=species:S:1:pos:R:3 pbc="T T T"
Al -9.733 0.768 -0.671
Al -3.244 0.256 -0.224
Sn 0.000 0.000 0.000
H -7.720 -0.414 0.611
H -7.500 0.116 -1.968
H -7.466 2.086 -0.207
H -5.258 1.437 -1.506
H -5.478 0.907 1.074
H -5.512 -1.063 -0.688
```

## Properties
- SG = Fm-3m (225)
- spin magnetization (μB/f.u.) = 0.000
- DOS(E_F) (states/eV/cell) = 0.43
- E (eV per atom) = -2.865



(19)
DFT (GGA-PBE) results for a geometry-optimized AlSn3H structure.

```
5
Lattice="5.298 0.000 0.000 0.000 5.298 0.000 0.000 0.000 5.298" Properties=species:S:1:pos:R:3 pbc="T T T"
H 2.649 2.649 2.649
Sn 0.000 2.649 0.000
Sn 0.000 0.000 2.649
Sn 2.649 0.000 0.000
Al 0.000 0.000 0.000
```

## Properties
- ΔE to the lowest computed polymorph (meV per atom) = 537
- SG = Pm-3m (221)
- spin magnetization (μB/f.u.) = 0.499
- DOS(E_F) (states/eV/cell) = 2.84
- E (eV per atom) = -2.954



(20)
DFT (GGA-PBE) results for a geometry-optimized Al3SnH structure.

```
5
Lattice="4.321 0.000 0.000 0.000 4.321 0.000 0.000 0.000 4.321" Properties=species:S:1:pos:R:3 pbc="T T T"
H 0.000 0.000 0.000
Sn 2.161 2.161 2.161
Al 0.000 2.161 0.000
Al 0.000 0.000 2.161
Al 2.161 0.000 0.000
```

## Properties
- SG = Pm-3m (221)
- spin magnetization (μB/f.u.) = 0.000
- DOS(E_F) (states/eV/cell) = 2.44
- E (eV per atom) = -3.465



(21)
DFT (GGA-PBE) results for a geometry-optimized Al2SnH structure.

```
8
Lattice="4.887 0.000 0.000 0.000 4.887 0.000 2.444 2.444 6.213" Properties=species:S:1:pos:R:3 pbc="T T T"
H 2.444 2.444 0.000
H 2.444 4.887 3.106
Sn 0.000 0.000 0.000
Sn 4.887 2.444 3.106
Al 2.913 1.222 1.553
Al 1.974 3.665 1.553
Al 3.665 4.417 4.659
Al 6.109 5.357 4.659
```

## Properties
- ΔE to the lowest computed polymorph (meV per atom) = 0
- SG = I-42d (122)
- spin magnetization (μB/f.u.) = 0.000
- DOS(E_F) (states/eV/cell) = 3.03
- E (eV per atom) = -3.431